No. 1
VASP calculation (GGA-PBE) on a geometry-optimized Pm15HoTm4 structure.

Its crystal system is tetragonal. The calculation puts the theoretical density at 7.5 g cm⁻³. As for the space group: P4/mmm (123). The value obtained for the formation energy is 1.2 kJ/mol of atoms. The calculation puts the calculated volume at 664.6 Å³ per cell. The total energy comes out at -4.67 eV per atom.

POSCAR file:
```
Pm15HoTm4
1.0
5.111 0.000 0.000
0.000 5.111 0.000
0.000 0.000 25.444
Pm Ho Tm
15 1 4
Direct
0.000 0.000 0.000 Pm
0.000 0.000 0.200 Pm
0.000 0.000 0.400 Pm
0.000 0.000 0.600 Pm
0.000 0.000 0.800 Pm
0.000 0.500 0.100 Pm
0.000 0.500 0.300 Pm
0.000 0.500 0.500 Pm
0.000 0.500 0.700 Pm
0.000 0.500 0.900 Pm
0.500 0.000 0.100 Pm
0.500 0.000 0.300 Pm
0.500 0.000 0.500 Pm
0.500 0.000 0.700 Pm
0.500 0.000 0.900 Pm
0.500 0.500 0.000 Ho
0.500 0.500 0.200 Tm
0.500 0.500 0.400 Tm
0.500 0.500 0.600 Tm
0.500 0.500 0.800 Tm
```

No. 2
VASP calculation (GGA-PBE) on a geometry-optimized Pm5HoTm2 structure.

Its crystal system is monoclinic. The calculation puts the theoretical density at 7.5 g cm⁻³. As for the space group: C2/c (15). The value obtained for the formation energy is 23.5 kJ/mol of atoms. Its offset from the most stable computed form is 226.5 meV/atom. The calculation puts the calculated volume at 542.1 Å³ per cell. The total energy comes out at -4.42 eV per atom.

POSCAR file:
```
Pm5HoTm2
1.0
6.447 -7.879 0.000
6.447 7.879 0.000
-2.670 0.000 5.336
Pm Ho Tm
10 2 4
Direct
0.042 0.335 0.939 Pm
0.202 0.798 0.750 Pm
0.285 0.394 0.589 Pm
0.335 0.042 0.439 Pm
0.394 0.285 0.089 Pm
0.606 0.715 0.911 Pm
0.665 0.958 0.561 Pm
0.715 0.606 0.411 Pm
0.798 0.202 0.250 Pm
0.958 0.665 0.061 Pm
0.345 0.655 0.250 Ho
0.655 0.345 0.750 Ho
0.000 0.000 0.000 Tm
0.000 0.000 0.500 Tm
0.000 0.500 0.500 Tm
0.500 0.000 0.000 Tm
```

theoretical density of number 2 (Pm5HoTm2)? 7.5 g cm⁻³